Entry from the Alexandria database: Zn2CrAsO after structural relaxation (PBEsol).

Summary:
**Formation energy (no corrections)**: 80.6 kJ/mol of atoms

a = 4.5885 Å, b = 4.5885 Å, c = 4.7389 Å
α = 90.00°, β = 90.00°, γ = 90.00°
With the nearest neighbours (Å) after each atom.
Space group P4/mmm (No. 123)
Inequivalent atoms, fractional coordinates:
1 Zn 0.0000 0.5000 0.0000 x2  2 As 2.29
2 Cr 0.0000 0.0000 0.5000 x1  2 As 2.37
3 As 0.0000 0.0000 0.0000 x1  4 Zn 2.29, 2 Cr 2.37
4 O 0.5000 0.5000 0.5000 x1  4 Cr 3.24, 8 Zn 3.30

=====

Entry from the Alexandria database: Li2VO2F after structural relaxation (PBEsol).

Summary:
**Energy above the most stable polymorph in this dataset**: 13.0 meV/atom
**Formation energy (no corrections)**: -241.2 kJ/mol of atoms

a = 2.7597 Å, b = 5.7878 Å, c = 6.4258 Å
α = 100.32°, β = 102.00°, γ = 90.05°
With the nearest neighbours (Å) after each atom.
Space group P-1 (No. 2)
Inequivalent atoms, fractional coordinates:
1 Li 0.0030 0.2625 0.0060 x2  4 F 1.95-2.05, 2 O 2.00-2.02
2 Li 0.3371 0.4428 0.6739 x2  1 F 2.02, 5 O 2.03-2.15
3 V 0.3267 0.9246 0.6314 x2  5 O 1.93-1.98
4 O 0.1508 0.8275 0.3166 x2  3 V 1.96-1.98, 3 Li 2.00-2.11
5 O 0.1648 0.3018 0.3322 x2  2 V 1.93-1.96, 4 Li 2.02-2.15
6 F 0.5000 0.0000 0.0000 x1  4 Li 2.05, 2 V 2.28
7 F 0.5000 0.5000 0.0000 x1  6 Li 1.95-2.02

=====

Entry from the Alexandria database: ScCuSb2I after structural relaxation (PBEsol).

Summary:
**Formation energy (no corrections)**: 24.6 kJ/mol of atoms

a = 4.9442 Å, b = 4.9442 Å, c = 5.4034 Å
α = 90.00°, β = 90.00°, γ = 90.00°
With the nearest neighbours (Å) after each atom.
Space group P4/mmm (No. 123)
Inequivalent atoms, fractional coordinates:
1 Sc 0.0000 0.0000 0.0000 x1  4 I 3.50, 8 Sb 3.66
2 Cu 0.5000 0.5000 0.5000 x1  4 Sb 2.47, 2 I 2.70
3 Sb 0.0000 0.5000 0.5000 x2  2 Cu 2.47
4 I 0.5000 0.5000 0.0000 x1  2 Cu 2.70

=====

Entry from the Alexandria database: Al2SnCl6O after structural relaxation (PBEsol).

Summary:
**Formation energy (no corrections)**: -155.1 kJ/mol of atoms

a = 9.3617 Å, b = 12.4564 Å, c = 12.3808 Å
α = 90.00°, β = 130.22°, γ = 90.00°
With the nearest neighbours (Å) after each atom.
Space group P2_1/c (No. 14)
Inequivalent atoms, fractional coordinates:
1 Al 0.0343 0.0063 0.1218 x4  2 O 1.80-1.81
2 Al 0.3773 0.6003 0.6566 x4  1 O 1.77
3 Sn 0.2123 0.5279 0.0022 x4  3 Cl 2.60-2.85
4 Cl 0.0215 0.1338 0.4838 x4  2 Sn 2.60-2.66
5 Cl 0.0577 0.1066 0.8053 x4  1 Al 2.13
6 Cl 0.1890 0.1277 0.2757 x4  1 Al 2.11
7 Cl 0.3637 0.7288 0.5381 x4  1 Al 2.12
8 Cl 0.4301 0.5244 0.3015 x4  1 Al 2.17
9 Cl 0.4707 0.6418 0.8610 x4  1 Al 2.14
10 O 0.1501 0.5457 0.5594 x4  3 Al 1.77-1.81

=====

Entry from the Alexandria database: Li2FeSb after structural relaxation (PBEsol).

Summary:
**Formation energy (no corrections)**: 21.5 kJ/mol of atoms

a = 3.1446 Å, b = 3.1446 Å, c = 26.3448 Å
α = 90.00°, β = 90.00°, γ = 120.00°
With the nearest neighbours (Å) after each atom.
Space group R3m (No. 160, hexagonal axes)
Inequivalent atoms, fractional coordinates:
1 Li 0.0000 0.0000 0.0000 x3  3 Fe 2.72
2 Li 0.0000 0.0000 0.2338 x3  3 Sb 2.96, 9 Li 3.14-3.19
3 Fe 0.0000 0.0000 0.7437 x3  3 Sb 2.55, 3 Li 2.72
4 Sb 0.0000 0.0000 0.4783 x3  3 Fe 2.55

=====

Entry from the Alexandria database: RbAu3N after structural relaxation (PBEsol).

Summary:
**Formation energy (no corrections)**: 56.1 kJ/mol of atoms

a = 4.5917 Å, b = 4.5917 Å, c = 4.5917 Å
α = 90.00°, β = 90.00°, γ = 90.00°
With the nearest neighbours (Å) after each atom.
Space group Pm-3m (No. 221)
Inequivalent atoms, fractional coordinates:
1 Rb 0.0000 0.0000 0.0000 x1  12 Au 3.25
2 Au 0.0000 0.5000 0.5000 x3  2 N 2.30
3 N 0.5000 0.5000 0.5000 x1  6 Au 2.30

=====

Entry from the Alexandria database: RbGa2Sb2 after structural relaxation (PBEsol).

Summary:
**Formation energy (no corrections)**: -25.1 kJ/mol of atoms

a = 4.5688 Å, b = 4.5688 Å, c = 14.8634 Å
α = 90.00°, β = 90.00°, γ = 90.00°
With the nearest neighbours (Å) after each atom.
Space group I4/mmm (No. 139)
Inequivalent atoms, fractional coordinates:
1 Rb 0.0000 0.0000 0.0000 x2  8 Sb 3.88
2 Ga 0.0000 0.5000 0.2500 x4  4 Sb 2.77
3 Sb 0.0000 0.0000 0.3558 x4  4 Ga 2.77

=====

Entry from the Alexandria database: Zn after structural relaxation (PBEsol).

Summary:
**Energy above the most stable polymorph in this dataset**: 25.4 meV/atom
**Energy relative to the elements**: 2.4 kJ per mole of atoms

a = 3.3860 Å, b = 3.3860 Å, c = 2.5407 Å
α = 90.00°, β = 90.00°, γ = 90.00°
With the nearest neighbours (Å) after each atom.
Space group I4/mmm (No. 139)
Inequivalent atoms, fractional coordinates:
1 Zn 0.0000 0.0000 0.0000 x2  10 Zn 2.54-2.71

=====

Short version: D(E_F) = 2.66, 1.53, 3.93, 0.00, 3.17, 1.79, 0.64, 0.24 states/eV/f.u., in the order given.